LiHfO | GGA-PBE | relaxed

Structure (CIF):
```
data_LiHfO
_chemical_formula_sum 'Li6 Hf6 O6'
_cell_length_a 3.2028
_cell_length_b 3.2028
_cell_length_c 26.1525
_cell_angle_alpha 90.00
_cell_angle_beta 90.00
_cell_angle_gamma 120.00
_symmetry_space_group_name_H-M 'R 3 m'
_symmetry_Int_Tables_number 160
_symmetry_space_group_name_Hall 'R 3 -2"'
loop_
_atom_site_label
_atom_site_fract_x
_atom_site_fract_y
_atom_site_fract_z
Li1 0.0000 0.0000 0.0000
Li2 0.0000 0.0000 0.3930
Hf1 0.0000 0.0000 0.1508
Hf2 0.0000 0.0000 0.5819
O1 0.0000 0.0000 0.0750
O2 0.0000 0.0000 0.3052
```

Results
Total DFT energy (no corrections) = -7.294 eV/atom
Mass density = 8.64 Mg/m³
Formation energy without anion corrections = -1.685 eV/atom
Crystal system = trigonal
Magnetic moment = 0.11 μB/f.u.

CsSr2Cu2 | GGA-PBE | relaxed

Structure (CIF):
```
data_CsSr2Cu2
_chemical_formula_sum 'Cs2 Sr4 Cu4'
_cell_length_a 5.4437
_cell_length_b 5.4437
_cell_length_c 12.5104
_cell_angle_alpha 90.00
_cell_angle_beta 90.00
_cell_angle_gamma 90.00
_symmetry_space_group_name_H-M 'I 4/m m m'
_symmetry_Int_Tables_number 139
_symmetry_space_group_name_Hall '-I 4 2'
loop_
_atom_site_label
_atom_site_fract_x
_atom_site_fract_y
_atom_site_fract_z
Cs1 0.0000 0.0000 0.0000
Sr1 0.0000 0.5000 0.2500
Cu1 0.0000 0.0000 0.3983
```

Results
Energy of formation = 220 meV per atom
Total DFT energy (no corrections) = -2.262 eV/atom
Mass density = 3.90 Mg/m³
Crystal system = tetragonal
Magnetic moment = 0.00 μB/f.u.

Nd8Hg2Ir3 | GGA-PBE | relaxed

Structure (CIF):
```
data_Nd8Hg2Ir3
_chemical_formula_sum 'Nd8 Hg2 Ir3'
_cell_length_a 8.9762
_cell_length_b 5.0789
_cell_length_c 8.9820
_cell_angle_alpha 90.00
_cell_angle_beta 110.42
_cell_angle_gamma 90.00
_symmetry_space_group_name_H-M 'P 1 2/m 1'
_symmetry_Int_Tables_number 10
loop_
_symmetry_equiv_pos_as_xyz
'x,y,z'
'-x,-y,-z'
'-x,y,-z'
'x,-y,z'
loop_
_atom_site_label
_atom_site_fract_x
_atom_site_fract_y
_atom_site_fract_z
Nd1 0.1149 0.0000 0.3860
Nd2 0.1301 0.5000 0.8593
Nd3 0.3599 0.5000 0.6309
Nd4 0.3853 0.0000 0.1137
Hg1 0.2573 0.5000 0.2427
Ir1 0.0000 0.5000 0.5000
Ir2 0.2588 0.0000 0.7587
```

Results
Energy of formation = -404 meV per atom
Total DFT energy (no corrections) = -5.429 eV/atom
Mass density = 9.22 Mg/m³
Crystal system = monoclinic
Magnetic moment = 0.00 μB/f.u.

What is the formula in the second record? CsSr2Cu2